A plane-wave DFT calculation with PBE-GGA was carried out for a relaxed Fe2CoTc2 crystal.

Calculated values
Energy above the most stable polymorph in this dataset (kcal/mol of atoms): 7.57
Theoretical density (g/cm³): 9.415
N(E_F) (states/eV per cell): 19.9
DFT formation energy (meV per atom): 602
Calculated volume (A^3/atom): 12.933
Calculated total energy (eV/atom): -8.35

Unit cell a=3.063 b=3.063 c=13.788 alpha=90.00 beta=90.00 gamma=90.00
Space group I4/mmm (No. 139)
Unique sites:
Fe: 0.000 0.500 0.250 [4 per cell]
Co: 0.000 0.000 0.000 [2 per cell]
Tc: 0.000 0.000 0.397 [4 per cell]